Model a:
Compound: LiVCrO4
Source: the Alexandria database
Functional: PBE+U
Structure: relaxed

Properties
SG: Imma

Cell: 5.926 5.926 5.926 Å, 119.20 118.85 91.69°
Fractional coordinates of all 14 atoms:
Li: 0.374 0.124 0.250
Li: 0.626 0.876 0.750
V: 0.000 0.000 0.500
V: 0.000 0.500 0.000
Cr: 0.000 0.500 0.500
Cr: 0.500 0.500 0.000
O: 0.215 0.744 0.471
O: 0.227 0.256 0.971
O: 0.232 0.256 0.524
O: 0.232 0.708 0.976
O: 0.768 0.292 0.024
O: 0.768 0.744 0.476
O: 0.773 0.744 0.029
O: 0.785 0.256 0.529

---

Model b:
Compound: LiVCrO4
Source: the Alexandria database
Functional: PBE+U
Structure: relaxed

Properties
SG: Imma

Cell: 5.889 5.889 5.889 Å, 119.08 118.12 92.45°
Fractional coordinates of all 14 atoms:
Li: 0.500 0.000 0.000
Li: 0.500 0.500 0.500
V: 0.000 0.000 0.500
V: 0.000 0.500 0.000
Cr: 0.000 0.000 0.000
Cr: 0.500 0.000 0.500
O: 0.222 0.245 0.977
O: 0.232 0.755 0.477
O: 0.234 0.206 0.472
O: 0.234 0.762 0.028
O: 0.766 0.238 0.972
O: 0.766 0.794 0.528
O: 0.768 0.245 0.523
O: 0.778 0.755 0.023

---

Model c:
Compound: LiVCrO4
Source: the Alexandria database
Functional: PBE+U
Structure: relaxed

Properties
SG: P1

Cell: 5.279 5.906 7.750 Å, 98.24 108.41 92.52°
Fractional coordinates of all 21 atoms:
Li: 0.000 0.000 0.000
Li: 0.327 0.350 0.329
Li: 0.666 0.665 0.663
V: 0.191 0.924 0.660
V: 0.517 0.264 0.990
V: 0.804 0.080 0.339
Cr: 0.145 0.420 0.670
Cr: 0.483 0.757 0.003
Cr: 0.844 0.585 0.326
O: 0.099 0.721 0.815
O: 0.138 0.186 0.835
O: 0.198 0.139 0.505
O: 0.227 0.632 0.509
O: 0.440 0.053 0.156
O: 0.464 0.522 0.161
O: 0.539 0.474 0.839
O: 0.559 0.967 0.835
O: 0.770 0.374 0.491
O: 0.791 0.868 0.492
O: 0.860 0.821 0.166
O: 0.890 0.285 0.177

---

Looking at the structures above, model a is most stable, and the difference to the next one is 5.7 kJ/mol of atoms.